A plane-wave DFT calculation with GGA-PBEsol was carried out for a relaxed Co2Rh crystal.

Computed properties:
DOS at the Fermi energy   1.665 states/eV per atom
Total energy   -7.79 eV/atom
DFT formation energy   0.08 eV/atom

a = 4.3822 Å, b = 4.3822 Å, c = 4.4123 Å
α = 99.99°, β = 99.99°, γ = 119.48°
Last column: magnetic moment on the atom in μB.
Atoms (fractional coordinates):
Co1 0.9186 0.0814 0.2500  1.60
Co2 0.0814 0.9186 0.7500  0.45
Co3 0.2475 0.7525 0.2500  0.45
Co4 0.7525 0.2475 0.7500  1.64
Rh1 0.5880 0.4120 0.2500  1.64
Rh2 0.4120 0.5880 0.7500  1.60